# 1
# TiFeO3 PBEsol relaxed
data_TiFeO3
_chemical_formula_sum 'Ti6 Fe6 O18'
_space_group_name_H-M_alt 'R -3'
_space_group_IT_number 148
_space_group_name_Hall '-R 3'
_cell_length_a 5.0237
_cell_length_b 5.0237
_cell_length_c 13.8678
_cell_angle_alpha 90.00
_cell_angle_beta 90.00
_cell_angle_gamma 120.00
loop_
_atom_site_label
_atom_site_type_symbol
_atom_site_fract_x
_atom_site_fract_y
_atom_site_fract_z
Ti1 Ti 0.0000 0.0000 0.1483
Fe1 Fe 0.0000 0.0000 0.3510
O1 O 0.0125 0.3157 0.7530
# Formation energy from raw total energies   -2.22 eV/atom
# DFT total energy   -264.79 eV/cell
# DOS at the Fermi energy   11.98 states/eV/cell

# 2
# Ca2CuRh2 PBEsol relaxed
data_Ca2CuRh2
_chemical_formula_sum 'Ca4 Cu2 Rh4'
_space_group_name_H-M_alt 'P 4/m b m'
_space_group_IT_number 127
_space_group_name_Hall '-P 4 2ab'
_cell_length_a 6.574
_cell_length_b 6.574
_cell_length_c 4.335
_cell_angle_alpha 90.00
_cell_angle_beta 90.00
_cell_angle_gamma 90.00
loop_
_atom_site_label
_atom_site_type_symbol
_atom_site_fract_x
_atom_site_fract_y
_atom_site_fract_z
Ca1 Ca 0.175 0.325 0.000
Cu1 Cu 0.000 0.000 0.500
Rh1 Rh 0.137 0.637 0.500
# E_form   -0.177 eV/atom
# DFT total energy   -51.52 eV/cell
# DOS at the Fermi energy   9.49 states/eV/cell

# 3
# FePOs2 PBEsol relaxed
data_FePOs2
_chemical_formula_sum 'Fe1 P1 Os2'
_space_group_name_H-M_alt 'P m m m'
_space_group_IT_number 47
_space_group_name_Hall '-P 2 2'
_cell_length_a 2.785
_cell_length_b 4.194
_cell_length_c 4.463
_cell_angle_alpha 90.00
_cell_angle_beta 90.00
_cell_angle_gamma 90.00
loop_
_atom_site_label
_atom_site_type_symbol
_atom_site_fract_x
_atom_site_fract_y
_atom_site_fract_z
Fe1 Fe 0.000 0.000 0.000
P1 P 0.500 0.000 0.500
Os1 Os 0.000 0.500 0.500
Os2 Os 0.500 0.500 0.000
# E_form   0.380 eV/atom
# DFT total energy   -37.67 eV/cell
# DOS at the Fermi energy   3.35 states/eV/cell

# 4
# SiTc2Pb PBEsol relaxed
data_SiTc2Pb
_chemical_formula_sum 'Si1 Tc2 Pb1'
_space_group_name_H-M_alt 'P 1 m 1'
_space_group_IT_number 6
_space_group_name_Hall 'P -2y'
_cell_length_a 3.038
_cell_length_b 4.412
_cell_length_c 5.158
_cell_angle_alpha 90.00
_cell_angle_beta 106.88
_cell_angle_gamma 90.00
loop_
_atom_site_label
_atom_site_type_symbol
_atom_site_fract_x
_atom_site_fract_y
_atom_site_fract_z
Si1 Si 0.000 0.000 0.000
Tc1 Tc 0.099 0.500 0.201
Tc2 Tc 0.698 0.000 0.399
Pb1 Pb 0.367 0.500 0.728
# Formation energy from raw total energies   0.36 eV/atom
# DFT total energy   -30.84 eV/cell
# DOS at the Fermi energy   3.92 states/eV/cell
# Offset from the most stable computed form   127.3 meV per atom